Record 1
MnSe2N2 | Alexandria via LeMat-Bulk | SCAN | PBEsol geometry; E_tot = -14.061 eV per atom; crystal system = tetragonal
1.0
4.594 0.000 0.000
0.000 4.594 0.000
0.000 0.000 3.358
Mn Se N
1 2 2
direct
0.000 0.000 0.000
0.000 0.500 0.000
0.500 0.000 0.000
0.000 0.000 0.500
0.500 0.500 0.500

Record 2
La2CdHg | Alexandria via LeMat-Bulk | SCAN | PBEsol geometry; energy of formation = -444 meV per atom; energy relative to the lowest polymorph listed for this composition = 0.1222 eV per atom; crystal system = tetragonal
1.0
-2.310 2.310 5.065
2.310 -2.310 5.065
2.310 2.310 -5.065
La Cd Hg
2 1 1
direct
0.000 0.000 0.000
0.750 0.250 0.500
0.500 0.500 0.000
0.250 0.750 0.500

Record 3
YGaSi3 | Alexandria via LeMat-Bulk | SCAN | PBEsol geometry; energy relative to the lowest polymorph listed for this composition = 0.6819 eV per atom; crystal system = cubic
1.0
5.218 0.000 0.000
0.000 5.218 0.000
0.000 0.000 5.218
Y Ga Si
1 1 3
direct
0.000 0.000 0.000
0.500 0.500 0.500
0.000 0.000 0.500
0.000 0.500 0.000
0.500 0.000 0.000

Record 4
Cd2OsSe | Alexandria via LeMat-Bulk | SCAN | PBEsol geometry; E_tot = -37.942 eV per atom; crystal system = trigonal
1.0
1.492 0.862 9.999
-1.492 0.862 9.999
0.000 -1.723 9.999
Cd Os Se
2 1 1
direct
0.000 0.000 0.000
0.243 0.243 0.243
0.499 0.499 0.499
0.774 0.774 0.774

Record 5
BaBe2IrW | Alexandria via LeMat-Bulk | SCAN | PBEsol geometry; energy of formation = 502 meV per atom; crystal system = tetragonal
1.0
4.491 0.000 0.000
0.000 4.491 0.000
0.000 0.000 4.862
Ba Be Ir W
1 2 1 1
direct
0.000 0.000 0.000
0.000 0.500 0.500
0.500 0.000 0.500
0.500 0.500 0.500
0.500 0.500 0.000

Record 6
TaGaSi2Sb | Alexandria via LeMat-Bulk | SCAN | PBEsol geometry; E_tot = -27.403 eV per atom; crystal system = tetragonal
1.0
4.876 0.000 0.000
0.000 4.876 0.000
0.000 0.000 5.261
Ta Ga Si Sb
1 1 2 1
direct
0.000 0.000 0.000
0.500 0.500 0.500
0.000 0.500 0.000
0.500 0.000 0.000
0.000 0.000 0.500

Record 7
Cu2ReSe | Alexandria via LeMat-Bulk | SCAN | PBEsol geometry; E_tot = -29.943 eV per atom; crystal system = trigonal
1.0
1.389 0.802 8.363
-1.389 0.802 8.363
0.000 -1.604 8.363
Cu Re Se
2 1 1
direct
0.250 0.250 0.250
0.750 0.750 0.750
0.000 0.000 0.000
0.500 0.500 0.500

Record 8
Sr2Pt | Alexandria via LeMat-Bulk | SCAN | PBEsol geometry; energy of formation = -738 meV per atom; crystal system = hexagonal
1.0
8.173 0.000 0.000
-4.086 7.078 0.000
0.000 0.000 4.609
Sr Pt
6 3
direct
0.000 0.411 0.000
0.000 0.742 0.500
0.258 0.258 0.500
0.411 0.000 0.000
0.589 0.589 0.000
0.742 0.000 0.500
0.000 0.000 0.000
0.333 0.667 0.500
0.667 0.333 0.500

Record 9
PrPt5 | Alexandria via LeMat-Bulk | SCAN | PBEsol geometry; energy of formation = -813 meV per atom; crystal system = hexagonal
1.0
5.359 0.000 0.000
-2.679 4.641 0.000
0.000 0.000 4.367
Pr Pt
1 5
direct
0.000 0.000 0.000
0.000 0.500 0.500
0.333 0.667 0.000
0.500 0.000 0.500
0.500 0.500 0.500
0.667 0.333 0.000

Record 10
TaSnW2I | Alexandria via LeMat-Bulk | SCAN | PBEsol geometry; E_tot = -53.116 eV per atom; crystal system = tetragonal
1.0
4.841 0.000 0.000
0.000 4.841 0.000
0.000 0.000 4.943
Ta Sn W I
1 1 2 1
direct
0.000 0.000 0.000
0.500 0.500 0.000
0.000 0.500 0.500
0.500 0.000 0.500
0.000 0.000 0.500

Record 11
ZrFe4Mo | Alexandria via LeMat-Bulk | SCAN | PBEsol geometry; energy of formation = 27 meV per atom; crystal system = cubic
1.0
0.000 3.354 3.354
3.354 0.000 3.354
3.354 3.354 0.000
Zr Fe Mo
1 4 1
direct
0.000 0.000 0.000
0.375 0.375 0.375
0.375 0.375 0.876
0.375 0.876 0.375
0.876 0.375 0.375
0.750 0.750 0.750

Record 12
CaMn2Ru | Alexandria via LeMat-Bulk | SCAN | PBEsol geometry; energy of formation = 83 meV per atom; energy relative to the lowest polymorph listed for this composition = 0.0000 eV per atom; crystal system = tetragonal
1.0
3.102 0.000 0.000
0.000 3.102 0.000
0.000 0.000 7.122
Ca Mn Ru
1 2 1
direct
0.000 0.000 0.000
0.500 0.500 0.316
0.500 0.500 0.684
0.000 0.000 0.500

Record 13
Mg2CuSe2 | Alexandria via LeMat-Bulk | SCAN | PBEsol geometry; E_tot = -13.820 eV per atom; crystal system = monoclinic
1.0
5.669 0.000 0.000
0.000 5.341 0.000
-2.827 0.000 6.278
Mg Cu Se
4 2 4
direct
0.072 0.000 0.216
0.355 0.000 0.783
0.645 0.500 0.217
0.928 0.500 0.784
0.499 0.252 0.500
0.501 0.752 0.500
0.112 0.500 0.213
0.399 0.500 0.787
0.601 0.000 0.213
0.888 0.000 0.787

Record 14
AlCrAs | Alexandria via LeMat-Bulk | SCAN | PBEsol geometry; energy of formation = 169 meV per atom; energy relative to the lowest polymorph listed for this composition = 0.3645 eV per atom; crystal system = hexagonal
1.0
4.016 0.000 0.000
-2.008 3.478 0.000
0.000 0.000 3.173
Al Cr As
1 1 1
direct
0.000 0.000 0.000
0.667 0.333 0.500
0.333 0.667 0.500

Record 15
InNi2Os | Alexandria via LeMat-Bulk | SCAN | PBEsol geometry; energy of formation = 372 meV per atom; crystal system = monoclinic
1.0
4.506 0.000 0.000
0.000 2.721 0.000
-1.575 0.000 4.452
In Ni Os
1 2 1
direct
0.000 0.000 0.000
0.500 0.000 0.500
0.500 0.500 0.000
0.000 0.500 0.500

Record 16
TaCu2As | Alexandria via LeMat-Bulk | SCAN | PBEsol geometry; energy of formation = 97 meV per atom; crystal system = orthorhombic
1.0
-1.503 2.094 4.505
1.503 -2.094 4.505
1.503 2.094 -4.505
Ta Cu As
1 2 1
direct
0.000 0.000 0.000
0.264 0.764 0.500
0.736 0.236 0.500
0.500 0.500 0.000

Record 17
MgSc2Ta | Alexandria via LeMat-Bulk | SCAN | PBEsol geometry; energy of formation = 260 meV per atom; crystal system = tetragonal
1.0
-2.141 2.141 4.453
2.141 -2.141 4.453
2.141 2.141 -4.453
Mg Sc Ta
1 2 1
direct
0.000 0.000 0.000
0.500 0.500 0.000
0.750 0.250 0.500
0.250 0.750 0.500

Record 18
ScBe3Bi | Alexandria via LeMat-Bulk | SCAN | PBEsol geometry; energy of formation = 1254 meV per atom; crystal system = cubic
1.0
4.696 0.000 0.000
0.000 4.696 0.000
0.000 0.000 4.696
Sc Be Bi
1 3 1
direct
0.000 0.000 0.000
0.000 0.500 0.500
0.500 0.000 0.500
0.500 0.500 0.000
0.500 0.500 0.500

Record 19
ScSb2O2 | Alexandria via LeMat-Bulk | SCAN | PBEsol geometry; E_tot = -20.297 eV per atom; crystal system = tetragonal
1.0
-1.924 1.924 5.986
1.924 -1.924 5.986
1.924 1.924 -5.986
Sc Sb O
1 2 2
direct
0.000 0.000 0.000
0.250 0.750 0.500
0.750 0.250 0.500
0.401 0.401 0.000
0.599 0.599 0.000

Record 20
MgReB2 | Alexandria via LeMat-Bulk | SCAN | PBEsol geometry; energy of formation = 727 meV per atom; crystal system = tetragonal
1.0
-2.417 2.417 5.499
2.417 -2.417 5.499
2.417 2.417 -5.499
Mg Re B
2 2 4
direct
0.000 0.000 0.000
0.750 0.250 0.500
0.250 0.750 0.500
0.500 0.500 0.000
0.213 0.625 0.088
0.375 0.463 0.588
0.537 0.125 0.912
0.875 0.787 0.412

Record 21
Hf3TaFe8 | Alexandria via LeMat-Bulk | SCAN | PBEsol geometry; energy of formation = -235 meV per atom; crystal system = trigonal
1.0
4.814 0.000 0.000
-2.407 4.169 0.000
0.000 0.000 7.871
Hf Ta Fe
3 1 8
direct
0.000 0.000 0.000
0.000 0.000 0.376
0.667 0.333 0.505
0.667 0.333 0.876
0.166 0.331 0.692
0.166 0.834 0.692
0.333 0.667 0.440
0.333 0.667 0.939
0.502 0.003 0.187
0.502 0.498 0.187
0.669 0.834 0.692
0.997 0.498 0.187

Record 22
Ho4CdIr | Alexandria via LeMat-Bulk | SCAN | PBEsol geometry; energy of formation = -667 meV per atom; crystal system = cubic
1.0
0.000 6.655 6.655
6.655 0.000 6.655
6.655 6.655 0.000
Ho Cd Ir
16 4 4
direct
0.188 0.188 0.812
0.188 0.812 0.188
0.188 0.812 0.812
0.400 0.400 0.400
0.400 0.400 0.800
0.400 0.800 0.400
0.560 0.560 0.940
0.560 0.940 0.560
0.560 0.940 0.940
0.800 0.400 0.400
0.812 0.188 0.188
0.812 0.188 0.812
0.812 0.812 0.188
0.940 0.560 0.560
0.940 0.560 0.940
0.940 0.940 0.560
0.169 0.169 0.169
0.169 0.169 0.492
0.169 0.492 0.169
0.492 0.169 0.169
0.176 0.608 0.608
0.608 0.176 0.608
0.608 0.608 0.176
0.608 0.608 0.608

Record 23
FeGeB2Pd | Alexandria via LeMat-Bulk | SCAN | PBEsol geometry; energy of formation = 1154 meV per atom; crystal system = tetragonal
1.0
3.903 0.000 0.000
0.000 3.903 0.000
0.000 0.000 5.216
Fe Ge B Pd
1 1 2 1
direct
0.000 0.000 0.000
0.500 0.500 0.000
0.000 0.500 0.500
0.500 0.000 0.500
0.500 0.500 0.500

Record 24
Ti2AgH2 | Alexandria via LeMat-Bulk | SCAN | PBEsol geometry; E_tot = -14.351 eV per atom; crystal system = tetragonal
1.0
-1.683 1.683 4.707
1.683 -1.683 4.707
1.683 1.683 -4.707
Ti Ag H
2 1 2
direct
0.158 0.158 0.000
0.842 0.842 0.000
0.500 0.500 0.000
0.250 0.750 0.500
0.750 0.250 0.500

Record 25
Ag2Ge2I | Alexandria via LeMat-Bulk | SCAN | PBEsol geometry; E_tot = -27.161 eV per atom; crystal system = tetragonal
1.0
-2.192 2.192 5.616
2.192 -2.192 5.616
2.192 2.192 -5.616
Ag Ge I
2 2 1
direct
0.250 0.750 0.500
0.750 0.250 0.500
0.116 0.116 0.000
0.884 0.884 0.000
0.500 0.500 0.000

Record 26
Be2AgW | Alexandria via LeMat-Bulk | SCAN | PBEsol geometry; energy of formation = 597 meV per atom; energy relative to the lowest polymorph listed for this composition = 0.1388 eV per atom; crystal system = tetragonal
1.0
-1.715 1.715 4.233
1.715 -1.715 4.233
1.715 1.715 -4.233
Be Ag W
2 1 1
direct
0.000 0.000 0.000
0.750 0.250 0.500
0.250 0.750 0.500
0.500 0.500 0.000

Record 27
SrCu2Pt | Alexandria via LeMat-Bulk | SCAN | PBEsol geometry; energy of formation = -16 meV per atom; energy relative to the lowest polymorph listed for this composition = 0.4030 eV per atom; crystal system = monoclinic
1.0
2.985 0.000 0.000
0.000 4.381 0.000
-1.208 0.000 5.499
Sr Cu Pt
1 2 1
direct
0.000 0.000 0.000
0.304 0.500 0.680
0.696 0.500 0.320
0.500 0.000 0.500